Entry 1:
# GaSbAu2

GaSbAu2 after structural relaxation (PBE, the Alexandria database).

Output
The uncorrected formation energy is -0.083 eV/atom. The calculation puts the final energy at -14.04 eV/cell. As for the energy above the most stable polymorph in this dataset: 30.1 meV/atom.

Lattice parameters (Å, degrees): 6.7355 6.7355 6.7355 34.29 34.29 34.29
With the nearest neighbours (Å) after each atom.
Positions (direct):
Ga (0.0000, 0.0000, 0.0000)  6 Au 2.69
Sb (0.5000, 0.5000, 0.5000)  6 Au 2.89
Au (0.2590, 0.2590, 0.2590)  3 Ga 2.69, 3 Sb 2.89
Au (0.7410, 0.7410, 0.7410)  3 Ga 2.69, 3 Sb 2.89


Entry 2:
# GaSb2Au

GaSb2Au after structural relaxation (PBE, the Alexandria database).

Output
The uncorrected formation energy is 0.029 eV/atom. The calculation puts the final energy at -14.43 eV/cell.

Lattice parameters (Å, degrees): 6.9544 6.9544 6.9544 35.32 35.32 35.32
With the nearest neighbours (Å) after each atom.
Positions (direct):
Ga (0.0000, 0.0000, 0.0000)  6 Sb 2.97-3.05, 1 Au 3.23
Sb (0.2460, 0.2460, 0.2460)  3 Au 2.87, 3 Ga 2.97
Sb (0.4274, 0.4274, 0.4274)  3 Au 2.83, 3 Ga 3.05
Au (0.8346, 0.8346, 0.8346)  6 Sb 2.83-2.87


Entry 3:
# Ga5Sb3Au12

Ga5Sb3Au12 after structural relaxation (PBE, the Alexandria database).

Output
The uncorrected formation energy is 0.053 eV/atom. The calculation puts the final energy at -263.10 eV/cell.

Lattice parameters (Å, degrees): 13.4911 13.4911 13.4911 109.47 109.47 109.47
With the nearest neighbours (Å) after each atom.
Positions (direct):
Ga (0.0000, 0.0000, 0.0000)  6 Au 2.61
Ga (0.0000, 0.0000, 0.5000)  6 Au 2.61
Ga (0.0000, 0.5000, 0.0000)  6 Au 2.61
Ga (0.0000, 0.5000, 0.5000)  6 Au 2.61
Ga (0.1250, 0.7500, 0.8750)  4 Au 2.55
Ga (0.1250, 0.8750, 0.2500)  4 Au 2.55
Ga (0.2500, 0.1250, 0.8750)  4 Au 2.55
Ga (0.2500, 0.6250, 0.3750)  4 Au 2.55
Ga (0.3750, 0.2500, 0.6250)  4 Au 2.55
Ga (0.3750, 0.6250, 0.7500)  4 Au 2.55
Ga (0.5000, 0.0000, 0.0000)  6 Au 2.61
Ga (0.5000, 0.0000, 0.5000)  6 Au 2.61
Ga (0.5000, 0.5000, 0.0000)  6 Au 2.61
Ga (0.5000, 0.5000, 0.5000)  6 Au 2.61
Ga (0.6250, 0.3750, 0.2500)  4 Au 2.55
Ga (0.6250, 0.7500, 0.3750)  4 Au 2.55
Ga (0.7500, 0.3750, 0.6250)  4 Au 2.55
Ga (0.7500, 0.8750, 0.1250)  4 Au 2.55
Ga (0.8750, 0.1250, 0.7500)  4 Au 2.55
Ga (0.8750, 0.2500, 0.1250)  4 Au 2.55
Sb (0.1250, 0.2500, 0.3750)  8 Au 2.79-2.98
Sb (0.1250, 0.3750, 0.7500)  8 Au 2.79-2.98
Sb (0.2500, 0.3750, 0.1250)  8 Au 2.79-2.98
Sb (0.2500, 0.8750, 0.6250)  8 Au 2.79-2.98
Sb (0.3750, 0.1250, 0.2500)  8 Au 2.79-2.98
Sb (0.3750, 0.7500, 0.1250)  8 Au 2.79-2.98
Sb (0.6250, 0.2500, 0.8750)  8 Au 2.79-2.98
Sb (0.6250, 0.8750, 0.7500)  8 Au 2.79-2.98
Sb (0.7500, 0.1250, 0.3750)  8 Au 2.79-2.98
Sb (0.7500, 0.6250, 0.8750)  8 Au 2.79-2.98
Sb (0.8750, 0.6250, 0.2500)  8 Au 2.79-2.98
Sb (0.8750, 0.7500, 0.6250)  8 Au 2.79-2.98
Au (0.0539, 0.2226, 0.1291)  2 Ga 2.55-2.61, 1 Sb 2.79
Au (0.0539, 0.3314, 0.9248)  2 Ga 2.55-2.61, 1 Sb 2.79
Au (0.0752, 0.6291, 0.4065)  2 Ga 2.55-2.61, 1 Sb 2.79
Au (0.0752, 0.9461, 0.6686)  2 Ga 2.55-2.61, 1 Sb 2.79
Au (0.0935, 0.7226, 0.6686)  2 Ga 2.55-2.61, 1 Sb 2.79
Au (0.0935, 0.8709, 0.4248)  2 Ga 2.55-2.61, 1 Sb 2.79
Au (0.1291, 0.0539, 0.2226)  2 Ga 2.55-2.61, 1 Sb 2.79
Au (0.1291, 0.5752, 0.9065)  2 Ga 2.55-2.61, 1 Sb 2.79
Au (0.1686, 0.2226, 0.5935)  2 Ga 2.55-2.61, 1 Sb 2.79
Au (0.1686, 0.4461, 0.5752)  2 Ga 2.55-2.61, 1 Sb 2.79
Au (0.2226, 0.1291, 0.0539)  2 Ga 2.55-2.61, 1 Sb 2.79
Au (0.2226, 0.5935, 0.1686)  2 Ga 2.55-2.61, 1 Sb 2.79
Au (0.2774, 0.3314, 0.9065)  2 Ga 2.55-2.61, 1 Sb 2.79
Au (0.2774, 0.4461, 0.3709)  2 Ga 2.55-2.61, 1 Sb 2.79
Au (0.3314, 0.9065, 0.2774)  2 Ga 2.55-2.61, 1 Sb 2.79
Au (0.3314, 0.9248, 0.0539)  2 Ga 2.55-2.61, 1 Sb 2.79
Au (0.3709, 0.2774, 0.4461)  2 Ga 2.55-2.61, 1 Sb 2.79
Au (0.3709, 0.5935, 0.9248)  2 Ga 2.55-2.61, 1 Sb 2.79
Au (0.4065, 0.0752, 0.6291)  2 Ga 2.55-2.61, 1 Sb 2.79
Au (0.4065, 0.8314, 0.7774)  2 Ga 2.55-2.61, 1 Sb 2.79
Au (0.4248, 0.0935, 0.8709)  2 Ga 2.55-2.61, 1 Sb 2.79
Au (0.4248, 0.8314, 0.5539)  2 Ga 2.55-2.61, 1 Sb 2.79
Au (0.4461, 0.3709, 0.2774)  2 Ga 2.55-2.61, 1 Sb 2.79
Au (0.4461, 0.5752, 0.1686)  2 Ga 2.55-2.61, 1 Sb 2.79
Au (0.5539, 0.4248, 0.8314)  2 Ga 2.55-2.61, 1 Sb 2.79
Au (0.5539, 0.6291, 0.7226)  2 Ga 2.55-2.61, 1 Sb 2.79
Au (0.5752, 0.1686, 0.4461)  2 Ga 2.55-2.61, 1 Sb 2.79
Au (0.5752, 0.9065, 0.1291)  2 Ga 2.55-2.61, 1 Sb 2.79
Au (0.5935, 0.1686, 0.2226)  2 Ga 2.55-2.61, 1 Sb 2.79
Au (0.5935, 0.9248, 0.3709)  2 Ga 2.55-2.61, 1 Sb 2.79
Au (0.6291, 0.4065, 0.0752)  2 Ga 2.55-2.61, 1 Sb 2.79
Au (0.6291, 0.7226, 0.5539)  2 Ga 2.55-2.61, 1 Sb 2.79
Au (0.6686, 0.0752, 0.9461)  2 Ga 2.55-2.61, 1 Sb 2.79
Au (0.6686, 0.0935, 0.7226)  2 Ga 2.55-2.61, 1 Sb 2.79
Au (0.7226, 0.5539, 0.6291)  2 Ga 2.55-2.61, 1 Sb 2.79
Au (0.7226, 0.6686, 0.0935)  2 Ga 2.55-2.61, 1 Sb 2.79
Au (0.7774, 0.4065, 0.8314)  2 Ga 2.55-2.61, 1 Sb 2.79
Au (0.7774, 0.8709, 0.9461)  2 Ga 2.55-2.61, 1 Sb 2.79
Au (0.8314, 0.5539, 0.4248)  2 Ga 2.55-2.61, 1 Sb 2.79
Au (0.8314, 0.7774, 0.4065)  2 Ga 2.55-2.61, 1 Sb 2.79
Au (0.8709, 0.4248, 0.0935)  2 Ga 2.55-2.61, 1 Sb 2.79
Au (0.8709, 0.9461, 0.7774)  2 Ga 2.55-2.61, 1 Sb 2.79
Au (0.9065, 0.1291, 0.5752)  2 Ga 2.55-2.61, 1 Sb 2.79
Au (0.9065, 0.2774, 0.3314)  2 Ga 2.55-2.61, 1 Sb 2.79
Au (0.9248, 0.0539, 0.3314)  2 Ga 2.55-2.61, 1 Sb 2.79
Au (0.9248, 0.3709, 0.5935)  2 Ga 2.55-2.61, 1 Sb 2.79
Au (0.9461, 0.6686, 0.0752)  2 Ga 2.55-2.61, 1 Sb 2.79
Au (0.9461, 0.7774, 0.8709)  2 Ga 2.55-2.61, 1 Sb 2.79


Entry 4:
# Ga2SbAu2

Ga2SbAu2 after structural relaxation (PBE, the Alexandria database).

Output
The uncorrected formation energy is 0.019 eV/atom. The calculation puts the final energy at -16.64 eV/cell. As for the energy above the most stable polymorph in this dataset: 91.7 meV/atom.

Lattice parameters (Å, degrees): 6.3626 6.3626 6.3626 140.53 140.53 57.05
With the nearest neighbours (Å) after each atom.
Positions (direct):
Ga (0.1098, 0.1098, 0.0000)  1 Ga 2.45, 4 Au 2.66
Ga (0.8902, 0.8902, 0.0000)  1 Ga 2.45, 4 Au 2.66
Sb (0.5000, 0.5000, 0.0000)  8 Ga 3.28, 8 Au 3.53
Au (0.2500, 0.7500, 0.5000)  4 Ga 2.66
Au (0.7500, 0.2500, 0.5000)  4 Ga 2.66


Entry 5:
# GaSbAu2

GaSbAu2 after structural relaxation (PBE, the Alexandria database).

Output
The uncorrected formation energy is -0.113 eV/atom. The calculation puts the final energy at -56.62 eV/cell. As for the energy above the most stable polymorph in this dataset: 0.0 meV/atom.

Lattice parameters (Å, degrees): 8.7189 7.1804 5.6400 90.00 90.00 90.00
With the nearest neighbours (Å) after each atom.
Positions (direct):
Ga (0.1196, 0.0829, 0.2500)  6 Au 2.71-2.78
Ga (0.1196, 0.4171, 0.7500)  6 Au 2.71-2.78
Ga (0.8804, 0.5829, 0.2500)  6 Au 2.71-2.78
Ga (0.8804, 0.9171, 0.7500)  6 Au 2.71-2.78
Sb (0.3712, 0.5929, 0.2500)  6 Au 2.84-3.03
Sb (0.3712, 0.9071, 0.7500)  6 Au 2.84-3.03
Sb (0.6288, 0.0929, 0.2500)  6 Au 2.84-3.03
Sb (0.6288, 0.4071, 0.7500)  6 Au 2.84-3.03
Au (0.1073, 0.7500, 0.0000)  4 Ga 2.71-2.78, 2 Au 2.82, 2 Sb 2.92
Au (0.1073, 0.7500, 0.5000)  4 Ga 2.71-2.78, 2 Au 2.82, 2 Sb 2.92
Au (0.3493, 0.2500, 0.0000)  2 Ga 2.73, 2 Au 2.82, 4 Sb 2.84-3.03
Au (0.3493, 0.2500, 0.5000)  2 Ga 2.73, 2 Au 2.82, 4 Sb 2.84-3.03
Au (0.6507, 0.7500, 0.0000)  2 Ga 2.73, 2 Au 2.82, 4 Sb 2.84-3.03
Au (0.6507, 0.7500, 0.5000)  2 Ga 2.73, 2 Au 2.82, 4 Sb 2.84-3.03
Au (0.8927, 0.2500, 0.0000)  4 Ga 2.71-2.78, 2 Au 2.82, 2 Sb 2.92
Au (0.8927, 0.2500, 0.5000)  4 Ga 2.71-2.78, 2 Au 2.82, 2 Sb 2.92


Entry 6:
# GaSbAu2

GaSbAu2 after structural relaxation (PBE, the Alexandria database).

Output
The uncorrected formation energy is -0.052 eV/atom. The calculation puts the final energy at -27.83 eV/cell. As for the energy above the most stable polymorph in this dataset: 60.5 meV/atom.

Lattice parameters (Å, degrees): 9.0348 9.0348 9.0348 150.12 150.12 42.76
With the nearest neighbours (Å) after each atom.
Positions (direct):
Ga (0.0000, 0.0000, 0.0000)  4 Au 2.60
Ga (0.7500, 0.2500, 0.5000)  4 Au 2.60
Sb (0.2500, 0.7500, 0.5000)  4 Au 2.75
Sb (0.5000, 0.5000, 0.0000)  4 Au 2.75
Au (0.0901, 0.6250, 0.9651)  2 Ga 2.60, 2 Sb 2.75
Au (0.3750, 0.3401, 0.4651)  2 Ga 2.60, 2 Sb 2.75
Au (0.6599, 0.1250, 0.0349)  2 Ga 2.60, 2 Sb 2.75
Au (0.8750, 0.9099, 0.5349)  2 Ga 2.60, 2 Sb 2.75


Entry 7:
# GaSbAu4

GaSbAu4 after structural relaxation (PBE, the Alexandria database).

Output
The uncorrected formation energy is -0.036 eV/atom. The calculation puts the final energy at -20.48 eV/cell. As for the energy above the most stable polymorph in this dataset: 1.4 meV/atom.

Lattice parameters (Å, degrees): 4.0687 4.0921 8.0357 103.74 92.63 106.66
With the nearest neighbours (Å) after each atom.
Positions (direct):
Ga (0.0000, 0.0000, 0.0000)  6 Au 2.63-2.85
Sb (0.0000, 0.5000, 0.5000)  8 Au 2.89-3.03
Au (0.3041, 0.4919, 0.8498)  2 Ga 2.63-2.78, 3 Au 2.81-2.87
Au (0.3410, 0.0139, 0.3208)  3 Au 2.81-2.97, 1 Ga 2.85, 3 Sb 2.89-2.91
Au (0.6590, 0.9861, 0.6792)  3 Au 2.81-2.97, 1 Ga 2.85, 3 Sb 2.89-2.91
Au (0.6959, 0.5081, 0.1502)  2 Ga 2.63-2.78, 3 Au 2.81-2.87


Entry 8:
# Ga2SbAu2

Ga2SbAu2 after structural relaxation (PBE, the Alexandria database).

Output
The uncorrected formation energy is 0.021 eV/atom. The calculation puts the final energy at -33.25 eV/cell. As for the energy above the most stable polymorph in this dataset: 94.2 meV/atom.

Lattice parameters (Å, degrees): 7.9373 7.9373 3.2337 90.00 90.00 90.00
With the nearest neighbours (Å) after each atom.
Positions (direct):
Ga (0.1645, 0.3355, 0.0000)  6 Au 2.82-2.85, 2 Sb 2.97
Ga (0.3355, 0.8355, 0.0000)  6 Au 2.82-2.85, 2 Sb 2.97
Ga (0.6645, 0.1645, 0.0000)  6 Au 2.82-2.85, 2 Sb 2.97
Ga (0.8355, 0.6645, 0.0000)  6 Au 2.82-2.85, 2 Sb 2.97
Sb (0.0000, 0.0000, 0.0000)  4 Ga 2.97, 2 Sb 3.23
Sb (0.5000, 0.5000, 0.0000)  4 Ga 2.97, 2 Sb 3.23
Au (0.1300, 0.6300, 0.5000)  6 Ga 2.82-2.85, 1 Au 2.92
Au (0.3700, 0.1300, 0.5000)  6 Ga 2.82-2.85, 1 Au 2.92
Au (0.6300, 0.8700, 0.5000)  6 Ga 2.82-2.85, 1 Au 2.92
Au (0.8700, 0.3700, 0.5000)  6 Ga 2.82-2.85, 1 Au 2.92


Entry 9:
# Ga3SbAu6

Ga3SbAu6 after structural relaxation (PBE, the Alexandria database).

Output
The uncorrected formation energy is -0.097 eV/atom. The calculation puts the final energy at -67.68 eV/cell.

Lattice parameters (Å, degrees): 6.5551 6.5551 9.6487 90.00 90.00 90.07
With the nearest neighbours (Å) after each atom.
Positions (direct):
Ga (0.1855, 0.8145, 0.5000)  6 Au 2.58-2.76
Ga (0.2793, 0.3174, 0.6757)  6 Au 2.63-2.77
Ga (0.3174, 0.2793, 0.1757)  6 Au 2.63-2.77
Ga (0.6826, 0.7207, 0.6757)  6 Au 2.63-2.77
Ga (0.7207, 0.6826, 0.1757)  6 Au 2.63-2.77
Ga (0.8145, 0.1855, 0.0000)  6 Au 2.58-2.76
Sb (0.2355, 0.7645, 0.0444)  6 Au 2.82-2.88
Sb (0.7645, 0.2355, 0.5444)  6 Au 2.82-2.88
Au (0.0770, 0.5599, 0.2846)  3 Ga 2.64-2.76, 2 Au 2.83-2.92, 1 Sb 2.87
Au (0.1587, 0.1938, 0.4302)  3 Ga 2.58-2.72, 1 Sb 2.82, 1 Au 2.83
Au (0.1938, 0.1587, 0.9302)  3 Ga 2.58-2.72, 1 Sb 2.82, 1 Au 2.83
Au (0.2852, 0.7148, 0.7498)  3 Ga 2.58-2.70, 1 Sb 2.88
Au (0.4401, 0.9230, 0.2846)  3 Ga 2.64-2.76, 2 Au 2.83-2.92, 1 Sb 2.87
Au (0.4690, 0.5310, 0.4641)  3 Ga 2.65-2.77, 1 Sb 2.85
Au (0.5310, 0.4690, 0.9641)  3 Ga 2.65-2.77, 1 Sb 2.85
Au (0.5599, 0.0770, 0.7846)  3 Ga 2.64-2.76, 2 Au 2.83-2.92, 1 Sb 2.87
Au (0.7148, 0.2852, 0.2498)  3 Ga 2.58-2.70, 1 Sb 2.88
Au (0.8062, 0.8413, 0.4302)  3 Ga 2.58-2.72, 1 Sb 2.82, 1 Au 2.83
Au (0.8413, 0.8062, 0.9302)  3 Ga 2.58-2.72, 1 Sb 2.82, 1 Au 2.83
Au (0.9230, 0.4401, 0.7846)  3 Ga 2.64-2.76, 2 Au 2.83-2.92, 1 Sb 2.87


Entry 10:
# GaSn2SbAu4

GaSn2SbAu4 after structural relaxation (PBE, the Alexandria database).

Output
The uncorrected formation energy is -0.112 eV/atom. The calculation puts the final energy at -29.16 eV/cell.

Lattice parameters (Å, degrees): 6.9871 3.8296 7.1438 90.00 107.16 90.00
With the nearest neighbours (Å) after each atom.
Positions (direct):
Ga (0.0000, 0.0000, 0.0000)  6 Au 2.74-2.75
Sn (0.0000, 0.5000, 0.5000)  6 Au 2.84
Sn (0.5000, 0.0000, 0.5000)  6 Au 2.94
Sb (0.5000, 0.5000, 0.0000)  6 Au 2.84-2.85
Au (0.2332, 0.5000, 0.2348)  2 Ga 2.74, 3 Sn 2.84-2.94, 1 Sb 2.85
Au (0.2419, 0.0000, 0.7582)  1 Ga 2.75, 2 Sb 2.84, 3 Sn 2.84-2.94
Au (0.7581, 0.0000, 0.2418)  1 Ga 2.75, 2 Sb 2.84, 3 Sn 2.84-2.94
Au (0.7668, 0.5000, 0.7652)  2 Ga 2.74, 3 Sn 2.84-2.94, 1 Sb 2.85


Entry 11:
# GaSnSb2Au4

GaSnSb2Au4 after structural relaxation (PBE, the Alexandria database).

Output
The uncorrected formation energy is -0.094 eV/atom. The calculation puts the final energy at -29.13 eV/cell.

Lattice parameters (Å, degrees): 6.8330 5.7370 7.0360 63.73 48.84 67.42
With the nearest neighbours (Å) after each atom.
Positions (direct):
Ga (0.0000, 0.0000, 0.0000)  6 Au 2.68-2.87
Sn (0.4987, 0.4987, 0.5013)  6 Au 2.87-2.94
Sb (0.2470, 0.2470, 0.2530)  6 Au 2.81-2.87
Sb (0.7470, 0.7470, 0.7530)  6 Au 2.81-2.87
Au (0.2353, 0.7585, 0.2415)  1 Ga 2.68, 4 Sb 2.87, 1 Sn 2.94
Au (0.4995, 0.9988, 0.5005)  2 Sb 2.81, 2 Ga 2.87, 2 Sn 2.87
Au (0.7585, 0.2353, 0.7647)  1 Ga 2.68, 4 Sb 2.87, 1 Sn 2.94
Au (0.9988, 0.4995, 0.0012)  2 Sb 2.81, 2 Ga 2.87, 2 Sn 2.87


Entry 12:
# Sr2GaSbAu6

Sr2GaSbAu6 after structural relaxation (PBE, the Alexandria database).

Output
The uncorrected formation energy is -0.481 eV/atom. The calculation puts the final energy at -69.97 eV/cell.

Lattice parameters (Å, degrees): 7.3225 9.4172 7.2668 90.00 90.00 90.00
With the nearest neighbours (Å) after each atom.
Positions (direct):
Sr (0.2500, 0.0139, 0.2414)  1 Ga 3.30, 1 Sb 3.45, 11 Au 3.47-3.69
Sr (0.2500, 0.4861, 0.2414)  1 Ga 3.30, 1 Sb 3.45, 11 Au 3.47-3.69
Sr (0.7500, 0.5139, 0.7586)  1 Ga 3.30, 1 Sb 3.45, 11 Au 3.47-3.69
Sr (0.7500, 0.9861, 0.7586)  1 Ga 3.30, 1 Sb 3.45, 11 Au 3.47-3.69
Ga (0.2500, 0.2500, 0.5772)  6 Au 2.46-2.66
Ga (0.7500, 0.7500, 0.4228)  6 Au 2.46-2.66
Sb (0.2500, 0.7500, 0.9128)  4 Au 2.67-2.72
Sb (0.7500, 0.2500, 0.0872)  4 Au 2.67-2.72
Au (0.0549, 0.2500, 0.8866)  1 Ga 2.66, 1 Sb 2.67, 3 Au 2.86-2.97
Au (0.0633, 0.7500, 0.5467)  1 Ga 2.46, 1 Au 2.73
Au (0.2500, 0.0015, 0.7290)  1 Ga 2.59, 1 Sb 2.72
Au (0.2500, 0.4985, 0.7290)  1 Ga 2.59, 1 Sb 2.72
Au (0.4367, 0.7500, 0.5467)  1 Ga 2.46, 1 Au 2.73
Au (0.4451, 0.2500, 0.8866)  1 Ga 2.66, 1 Sb 2.67, 3 Au 2.86-2.97
Au (0.5549, 0.7500, 0.1134)  1 Ga 2.66, 1 Sb 2.67, 3 Au 2.86-2.97
Au (0.5633, 0.2500, 0.4533)  1 Ga 2.46, 1 Au 2.73
Au (0.7500, 0.5015, 0.2710)  1 Ga 2.59, 1 Sb 2.72
Au (0.7500, 0.9985, 0.2710)  1 Ga 2.59, 1 Sb 2.72
Au (0.9367, 0.2500, 0.4533)  1 Ga 2.46, 1 Au 2.73
Au (0.9451, 0.7500, 0.1134)  1 Ga 2.66, 1 Sb 2.67, 3 Au 2.86-2.97